Entry 1:
# LiTmI | Alexandria | PBE | relaxed
data_LiTmI
_chemical_formula_sum 'Li2 Tm2 I2'
_cell_length_a 3.769
_cell_length_b 3.769
_cell_length_c 13.523
_cell_angle_alpha 90.00
_cell_angle_beta 90.00
_cell_angle_gamma 120.00
_symmetry_space_group_name_H-M 'P 1'
_symmetry_Int_Tables_number 1
loop_
_symmetry_equiv_pos_as_xyz
'x,y,z'
loop_
_atom_site_label
_atom_site_fract_x
_atom_site_fract_y
_atom_site_fract_z
_atom_site_occupancy
Li1 0.611 0.221 0.000 1
Li2 0.278 0.557 0.500 1
Tm1 0.611 0.222 0.324 1
Tm2 0.611 0.222 0.676 1
I1 0.278 0.555 0.852 1
I2 0.278 0.555 0.148 1
# symmetry: Amm2 (38)
# V: 27.732 Å³ per atom
# magnetic moment: 0.00 Bohr magnetons per cell
# total DFT energy (no corrections): -18.38 eV for the cell shown
# raw formation energy: -0.418 eV per atom

Entry 2:
# AcCe2In2Ag2 | Alexandria | PBE | relaxed
data_AcCe2In2Ag2
_chemical_formula_sum 'Ac1 Ce2 In2 Ag2'
_cell_length_a 4.809
_cell_length_b 4.809
_cell_length_c 9.889
_cell_angle_alpha 75.93
_cell_angle_beta 75.93
_cell_angle_gamma 60.00
_symmetry_space_group_name_H-M 'P 1'
_symmetry_Int_Tables_number 1
loop_
_symmetry_equiv_pos_as_xyz
'x,y,z'
loop_
_atom_site_label
_atom_site_fract_x
_atom_site_fract_y
_atom_site_fract_z
_atom_site_occupancy
Ac1 0.000 0.000 0.000 1
Ce1 0.144 0.144 0.568 1
Ce2 0.856 0.856 0.432 1
In1 0.741 0.741 0.778 1
In2 0.259 0.259 0.222 1
Ag1 0.571 0.571 0.286 1
Ag2 0.429 0.429 0.714 1
# symmetry: R-3m (166)
# V: 27.154 Å³ per atom
# magnetic moment: 1.26 Bohr magnetons per cell
# total DFT energy (no corrections): -29.07 eV for the cell shown

Entry 3:
# Nb5AlSi | Alexandria | PBE | relaxed
data_Nb5AlSi
_chemical_formula_sum 'Nb10 Al2 Si2'
_cell_length_a 7.480
_cell_length_b 7.480
_cell_length_c 5.646
_cell_angle_alpha 98.33
_cell_angle_beta 98.33
_cell_angle_gamma 122.23
_symmetry_space_group_name_H-M 'P 1'
_symmetry_Int_Tables_number 1
loop_
_symmetry_equiv_pos_as_xyz
'x,y,z'
loop_
_atom_site_label
_atom_site_fract_x
_atom_site_fract_y
_atom_site_fract_z
_atom_site_occupancy
Nb1 0.947 0.644 0.145 1
Nb2 0.223 0.563 0.440 1
Nb3 0.644 0.947 0.645 1
Nb4 0.834 0.166 0.250 1
Nb5 0.437 0.777 0.060 1
Nb6 0.563 0.223 0.940 1
Nb7 0.166 0.834 0.750 1
Nb8 0.356 0.053 0.355 1
Nb9 0.777 0.437 0.560 1
Nb10 0.053 0.356 0.855 1
Al1 0.505 0.495 0.250 1
Al2 0.495 0.505 0.750 1
Si1 0.000 0.000 0.000 1
Si2 0.000 0.000 0.500 1
# symmetry: C2/c (15)
# V: 18.207 Å³ per atom
# magnetic moment: 0.00 Bohr magnetons per cell
# total DFT energy (no corrections): -119.16 eV for the cell shown
# raw formation energy: -0.010 eV per atom

Entry 4:
# Co2CuTc | Alexandria | PBE | relaxed
data_Co2CuTc
_chemical_formula_sum 'Co2 Cu1 Tc1'
_cell_length_a 4.214
_cell_length_b 2.483
_cell_length_c 4.710
_cell_angle_alpha 84.60
_cell_angle_beta 90.00
_cell_angle_gamma 90.00
_symmetry_space_group_name_H-M 'P 1'
_symmetry_Int_Tables_number 1
loop_
_symmetry_equiv_pos_as_xyz
'x,y,z'
loop_
_atom_site_label
_atom_site_fract_x
_atom_site_fract_y
_atom_site_fract_z
_atom_site_occupancy
Co1 0.000 0.022 0.006 1
Co2 0.000 0.478 0.494 1
Cu1 0.500 0.250 0.250 1
Tc1 0.500 0.750 0.750 1
# symmetry: P2/m (10)
# V: 12.265 Å³ per atom
# magnetic moment: 3.30 Bohr magnetons per cell
# total DFT energy (no corrections): -27.64 eV for the cell shown
# energy above the lowest structure with this stoichiometry: 0.133 eV/atom

Entry 5:
# Mg3Ga2Co3B | Alexandria | PBE | relaxed
data_Mg3Ga2Co3B
_chemical_formula_sum 'Mg3 Ga2 Co3 B1'
_cell_length_a 3.123
_cell_length_b 6.651
_cell_length_c 6.651
_cell_angle_alpha 120.00
_cell_angle_beta 90.00
_cell_angle_gamma 90.00
_symmetry_space_group_name_H-M 'P 1'
_symmetry_Int_Tables_number 1
loop_
_symmetry_equiv_pos_as_xyz
'x,y,z'
loop_
_atom_site_label
_atom_site_fract_x
_atom_site_fract_y
_atom_site_fract_z
_atom_site_occupancy
Mg1 0.000 0.000 0.366 1
Mg2 0.000 0.634 0.634 1
Mg3 0.000 0.366 0.000 1
Ga1 0.500 0.333 0.667 1
Ga2 0.500 0.667 0.333 1
Co1 0.500 0.774 0.000 1
Co2 0.500 0.226 0.226 1
Co3 0.500 0.000 0.774 1
B1 0.000 0.000 0.000 1
# symmetry: P-62m (189)
# V: 13.296 Å³ per atom
# magnetic moment: 0.00 Bohr magnetons per cell
# total DFT energy (no corrections): -39.73 eV for the cell shown

Entry 6:
# Ac8Pd3AuBr4 | Alexandria | PBE | relaxed
data_Ac8Pd3AuBr4
_chemical_formula_sum 'Ac8 Pd3 Au1 Br4'
_cell_length_a 9.003
_cell_length_b 9.715
_cell_length_c 9.001
_cell_angle_alpha 117.65
_cell_angle_beta 120.00
_cell_angle_gamma 90.00
_symmetry_space_group_name_H-M 'P 1'
_symmetry_Int_Tables_number 1
loop_
_symmetry_equiv_pos_as_xyz
'x,y,z'
loop_
_atom_site_label
_atom_site_fract_x
_atom_site_fract_y
_atom_site_fract_z
_atom_site_occupancy
Ac1 0.236 0.698 0.963 1
Ac2 0.236 0.698 0.472 1
Ac3 0.267 0.300 0.533 1
Ac4 0.726 0.698 0.963 1
Ac5 0.274 0.302 0.037 1
Ac6 0.733 0.700 0.467 1
Ac7 0.764 0.302 0.528 1
Ac8 0.764 0.302 0.037 1
Pd1 0.500 0.500 0.000 1
Pd2 0.500 0.500 0.500 1
Pd3 0.000 0.500 0.500 1
Au1 0.000 0.500 0.000 1
Br1 0.500 0.000 0.000 1
Br2 0.500 0.000 0.500 1
Br3 0.000 0.000 0.000 1
Br4 0.000 0.000 0.500 1
# symmetry: C2/m (12)
# V: 35.974 Å³ per atom
# magnetic moment: 0.00 Bohr magnetons per cell
# total DFT energy (no corrections): -75.58 eV for the cell shown
# raw formation energy: -1.073 eV per atom

Entry 7:
# Ga2BPN | Alexandria | PBE | relaxed
data_Ga2BPN
_chemical_formula_sum 'Ga2 B1 P1 N1'
_cell_length_a 5.309
_cell_length_b 2.702
_cell_length_c 5.309
_cell_angle_alpha 90.00
_cell_angle_beta 90.00
_cell_angle_gamma 90.00
_symmetry_space_group_name_H-M 'P 1'
_symmetry_Int_Tables_number 1
loop_
_symmetry_equiv_pos_as_xyz
'x,y,z'
loop_
_atom_site_label
_atom_site_fract_x
_atom_site_fract_y
_atom_site_fract_z
_atom_site_occupancy
P1 0.500 0.500 0.500 1
B1 0.000 0.000 0.000 1
Ga1 0.000 0.000 0.500 1
Ga2 0.500 0.000 0.000 1
N1 0.000 0.500 0.000 1
# symmetry: P4/mmm (123)
# V: 15.235 Å³ per atom
# magnetic moment: 0.00 Bohr magnetons per cell
# total DFT energy (no corrections): -25.35 eV for the cell shown
# raw formation energy: 0.223 eV per atom

Entry 8:
# HoGa4CoRh2 | Alexandria | PBE | relaxed
data_HoGa4CoRh2
_chemical_formula_sum 'Ho1 Ga4 Co1 Rh2'
_cell_length_a 4.182
_cell_length_b 4.182
_cell_length_c 8.806
_cell_angle_alpha 76.26
_cell_angle_beta 76.26
_cell_angle_gamma 60.00
_symmetry_space_group_name_H-M 'P 1'
_symmetry_Int_Tables_number 1
loop_
_symmetry_equiv_pos_as_xyz
'x,y,z'
loop_
_atom_site_label
_atom_site_fract_x
_atom_site_fract_y
_atom_site_fract_z
_atom_site_occupancy
Ho1 0.000 0.000 0.000 1
Ga1 0.400 0.400 0.799 1
Ga2 0.866 0.866 0.401 1
Ga3 0.134 0.134 0.599 1
Ga4 0.600 0.600 0.201 1
Co1 0.500 0.500 0.500 1
Rh1 0.764 0.764 0.707 1
Rh2 0.236 0.236 0.293 1
# symmetry: R-3m (166)
# V: 16.029 Å³ per atom
# magnetic moment: 0.00 Bohr magnetons per cell
# total DFT energy (no corrections): -43.23 eV for the cell shown

Entry 9:
# ErHfGaAu | Alexandria | PBE | relaxed
data_ErHfGaAu
_chemical_formula_sum 'Er1 Hf1 Ga1 Au1'
_cell_length_a 4.909
_cell_length_b 4.909
_cell_length_c 4.909
_cell_angle_alpha 60.00
_cell_angle_beta 60.00
_cell_angle_gamma 60.00
_symmetry_space_group_name_H-M 'P 1'
_symmetry_Int_Tables_number 1
loop_
_symmetry_equiv_pos_as_xyz
'x,y,z'
loop_
_atom_site_label
_atom_site_fract_x
_atom_site_fract_y
_atom_site_fract_z
_atom_site_occupancy
Hf1 0.500 0.500 0.500 1
Au1 0.750 0.750 0.750 1
Ga1 0.250 0.250 0.250 1
Er1 0.000 0.000 0.000 1
# symmetry: F-43m (216)
# V: 20.915 Å³ per atom
# magnetic moment: 0.99 Bohr magnetons per cell
# total DFT energy (no corrections): -22.70 eV for the cell shown

Entry 10:
# LuMgTl2 | Alexandria | PBE | relaxed
data_LuMgTl2
_chemical_formula_sum 'Lu1 Mg1 Tl2'
_cell_length_a 4.148
_cell_length_b 4.909
_cell_length_c 4.909
_cell_angle_alpha 90.00
_cell_angle_beta 90.00
_cell_angle_gamma 90.00
_symmetry_space_group_name_H-M 'P 1'
_symmetry_Int_Tables_number 1
loop_
_symmetry_equiv_pos_as_xyz
'x,y,z'
loop_
_atom_site_label
_atom_site_fract_x
_atom_site_fract_y
_atom_site_fract_z
_atom_site_occupancy
Tl1 0.000 0.000 0.500 1
Tl2 0.000 0.500 0.000 1
Lu1 0.500 0.500 0.500 1
Mg1 0.500 0.000 0.000 1
# symmetry: P4/mmm (123)
# V: 24.991 Å³ per atom
# magnetic moment: 0.00 Bohr magnetons per cell
# total DFT energy (no corrections): -11.65 eV for the cell shown

Entry 11:
# ScBr2 | Alexandria | PBE | relaxed
data_ScBr2
_chemical_formula_sum 'Sc2 Br4'
_cell_length_a 6.240
_cell_length_b 6.240
_cell_length_c 6.240
_cell_angle_alpha 60.00
_cell_angle_beta 60.00
_cell_angle_gamma 60.00
_symmetry_space_group_name_H-M 'P 1'
_symmetry_Int_Tables_number 1
loop_
_symmetry_equiv_pos_as_xyz
'x,y,z'
loop_
_atom_site_label
_atom_site_fract_x
_atom_site_fract_y
_atom_site_fract_z
_atom_site_occupancy
Sc1 0.500 0.500 0.500 1
Sc2 0.750 0.750 0.750 1
Br1 0.625 0.125 0.125 1
Br2 0.125 0.625 0.125 1
Br3 0.125 0.125 0.625 1
Br4 0.125 0.125 0.125 1
# symmetry: Fd-3m (227)
# V: 28.635 Å³ per atom
# magnetic moment: 3.56 Bohr magnetons per cell
# total DFT energy (no corrections): -17.88 eV for the cell shown
# raw formation energy: 0.245 eV per atom

Entry 12:
# Li2MgCd4 | Alexandria | PBE | relaxed
data_Li2MgCd4
_chemical_formula_sum 'Li2 Mg1 Cd4'
_cell_length_a 5.815
_cell_length_b 5.815
_cell_length_c 5.815
_cell_angle_alpha 107.53
_cell_angle_beta 110.45
_cell_angle_gamma 110.45
_symmetry_space_group_name_H-M 'P 1'
_symmetry_Int_Tables_number 1
loop_
_symmetry_equiv_pos_as_xyz
'x,y,z'
loop_
_atom_site_label
_atom_site_fract_x
_atom_site_fract_y
_atom_site_fract_z
_atom_site_occupancy
Li1 0.500 0.500 0.000 1
Li2 0.500 0.000 0.500 1
Mg1 0.000 0.000 0.000 1
Cd1 0.500 0.000 0.000 1
Cd2 0.500 0.500 0.500 1
Cd3 0.000 0.000 0.500 1
Cd4 0.000 0.500 0.000 1
# symmetry: I4/mmm (139)
# V: 21.606 Å³ per atom
# magnetic moment: 0.00 Bohr magnetons per cell
# total DFT energy (no corrections): -9.90 eV for the cell shown
# energy above the lowest structure with this stoichiometry: 0.000 eV/atom

- Which value of V does entry 7 give?
  15.235 Å³ per atom